No. 1
Computed, not measured: a relaxed structure of Be3AlRh at the PBE-GGA level of DFT.

Cell lengths 4.1076, 4.1076, 4.1076 Å; angles 90.00, 90.00, 90.00 degrees
Positions (direct):
Be (0.0000, 0.0000, 0.5000)
Be (0.0000, 0.5000, 0.0000)
Be (0.5000, 0.0000, 0.0000)
Al (0.0000, 0.0000, 0.0000)
Rh (0.5000, 0.5000, 0.5000)

## Properties
Distance to the lowest polymorph of the same formula: 0.735 eV/atom
Formation enthalpy at 0 K: 1100.7 meV/atom
Symmetry: Pm-3m, No. 221
Magnetization: 0.0 μB/f.u.
E_tot: -3.354 eV per atom
V: 13.86 A^3/atom

No. 2
Computed, not measured: a relaxed structure of BeAl2Rh at the PBE-GGA level of DFT.

Cell lengths 3.6789, 3.6789, 7.6570 Å; angles 90.00, 90.00, 90.00 degrees
Positions (direct):
Be (0.0000, 0.0000, 0.0000)
Be (0.5000, 0.5000, 0.5000)
Al (0.0000, 0.0000, 0.5000)
Al (0.0000, 0.5000, 0.7500)
Al (0.5000, 0.0000, 0.2500)
Al (0.5000, 0.5000, 0.0000)
Rh (0.0000, 0.5000, 0.2500)
Rh (0.5000, 0.0000, 0.7500)

## Properties
Formation enthalpy at 0 K: -521.5 meV/atom
Symmetry: I-4m2, No. 119
Magnetization: 0.0 μB/f.u.
E_tot: -5.162 eV per atom
V: 12.95 A^3/atom

No. 3
Computed, not measured: a relaxed structure of Be2AlRh2 at the PBE-GGA level of DFT.

Cell lengths 6.3278, 6.3278, 2.8450 Å; angles 90.00, 90.00, 90.00 degrees
Positions (direct):
Be (0.1201, 0.3799, 0.0000)
Be (0.3799, 0.8799, 0.0000)
Be (0.6201, 0.1201, 0.0000)
Be (0.8799, 0.6201, 0.0000)
Al (0.0000, 0.0000, 0.0000)
Al (0.5000, 0.5000, 0.0000)
Rh (0.1749, 0.6749, 0.5000)
Rh (0.3251, 0.1749, 0.5000)
Rh (0.6749, 0.8251, 0.5000)
Rh (0.8251, 0.3251, 0.5000)

## Properties
Distance to the lowest polymorph of the same formula: 0.000 eV/atom
Formation enthalpy at 0 K: -744.5 meV/atom
Symmetry: P4/mbm, No. 127
Magnetization: 0.0 μB/f.u.
E_tot: -5.924 eV per atom
V: 11.39 A^3/atom

No. 4
Computed, not measured: a relaxed structure of BeAl2Rh at the PBE-GGA level of DFT.

Cell lengths 4.0699, 4.0699, 3.1234 Å; angles 90.00, 90.00, 90.00 degrees
Positions (direct):
Be (0.0000, 0.0000, 0.0000)
Al (0.0000, 0.5000, 0.5000)
Al (0.5000, 0.0000, 0.5000)
Rh (0.5000, 0.5000, 0.0000)

## Properties
Formation enthalpy at 0 K: -483.1 meV/atom
Symmetry: P4/mmm, No. 123
Magnetization: 0.0 μB/f.u.
E_tot: -5.124 eV per atom
V: 12.93 A^3/atom

No. 5
Computed, not measured: a relaxed structure of BeAl2Rh at the PBE-GGA level of DFT.

Cell lengths 2.9033, 3.8948, 4.9308 Å; angles 90.00, 106.30, 90.00 degrees
Positions (direct):
Be (0.0000, 0.0000, 0.0000)
Al (0.4151, 0.5000, 0.8109)
Al (0.7331, 0.0000, 0.4689)
Rh (0.1357, 0.5000, 0.2637)

## Properties
Formation enthalpy at 0 K: -498.3 meV/atom
Symmetry: Pm, No. 6
Magnetization: 0.0 μB/f.u.
E_tot: -5.139 eV per atom
V: 13.38 A^3/atom

No. 6
Computed, not measured: a relaxed structure of BeAlRh2 at the PBE-GGA level of DFT.

Cell lengths 2.9671, 2.9671, 5.7578 Å; angles 90.00, 90.00, 90.00 degrees
Positions (direct):
Be (0.0000, 0.0000, 0.0000)
Al (0.5000, 0.5000, 0.7386)
Rh (0.0000, 0.0000, 0.5073)
Rh (0.5000, 0.5000, 0.1697)

## Properties
Distance to the lowest polymorph of the same formula: 0.311 eV/atom
Formation enthalpy at 0 K: -576.8 meV/atom
Symmetry: P4mm, No. 99
Magnetization: 0.0 μB/f.u.
E_tot: -6.120 eV per atom
V: 12.67 A^3/atom

No. 7
Computed, not measured: a relaxed structure of BeAlRh2 at the PBE-GGA level of DFT.

Cell lengths 3.8870, 3.8870, 15.5242 Å; angles 90.00, 90.00, 90.00 degrees
Positions (direct):
Be (0.0000, 0.0000, 0.0000)
Be (0.0000, 0.5000, 0.2500)
Be (0.5000, 0.0000, 0.7500)
Be (0.5000, 0.5000, 0.5000)
Al (0.0000, 0.0000, 0.5000)
Al (0.0000, 0.5000, 0.7500)
Al (0.5000, 0.0000, 0.2500)
Al (0.5000, 0.5000, 0.0000)
Rh (0.2106, 0.2500, 0.1250)
Rh (0.2500, 0.7106, 0.3750)
Rh (0.2500, 0.7894, 0.8750)
Rh (0.2894, 0.2500, 0.6250)
Rh (0.7106, 0.7500, 0.6250)
Rh (0.7500, 0.2106, 0.8750)
Rh (0.7500, 0.2894, 0.3750)
Rh (0.7894, 0.7500, 0.1250)

## Properties
Distance to the lowest polymorph of the same formula: 0.819 eV/atom
Formation enthalpy at 0 K: -68.5 meV/atom
Symmetry: I-42d, No. 122
Magnetization: 0.0 μB/f.u.
E_tot: -5.611 eV per atom
V: 14.66 A^3/atom

No. 8
Computed, not measured: a relaxed structure of BeAlRh2 at the PBE-GGA level of DFT.

Cell lengths 2.8642, 4.6059, 8.1567 Å; angles 90.00, 90.00, 90.00 degrees
Positions (direct):
Be (0.0000, 0.0000, 0.0000)
Be (0.5000, 0.5000, 0.0000)
Al (0.0000, 0.5000, 0.7422)
Al (0.5000, 0.0000, 0.7422)
Rh (0.0000, 0.0000, 0.4996)
Rh (0.0000, 0.5000, 0.2071)
Rh (0.5000, 0.0000, 0.2071)
Rh (0.5000, 0.5000, 0.4996)

## Properties
Distance to the lowest polymorph of the same formula: 0.802 eV/atom
Formation enthalpy at 0 K: -86.1 meV/atom
Symmetry: Cmm2, No. 35
Magnetization: 0.0 μB/f.u.
E_tot: -5.629 eV per atom
V: 13.45 A^3/atom

No. 9
Computed, not measured: a relaxed structure of BeAl2Rh at the PBE-GGA level of DFT.

Cell lengths 3.0437, 3.1694, 5.3980 Å; angles 90.00, 90.00, 90.00 degrees
Positions (direct):
Be (0.0000, 0.0000, 0.0000)
Al (0.5000, 0.5000, 0.2440)
Al (0.5000, 0.5000, 0.7560)
Rh (0.0000, 0.0000, 0.5000)

## Properties
Formation enthalpy at 0 K: -498.4 meV/atom
Symmetry: Pmmm, No. 47
Magnetization: 0.0 μB/f.u.
E_tot: -5.139 eV per atom
V: 13.02 A^3/atom

No. 10
Computed, not measured: a relaxed structure of BeAl2Rh at the PBE-GGA level of DFT.

Cell lengths 5.9079, 5.9079, 5.9079 Å; angles 90.00, 90.00, 90.00 degrees
Positions (direct):
Be (0.0000, 0.0000, 0.0000)
Be (0.0000, 0.5000, 0.5000)
Be (0.5000, 0.0000, 0.5000)
Be (0.5000, 0.5000, 0.0000)
Al (0.0000, 0.0000, 0.5000)
Al (0.0000, 0.5000, 0.0000)
Al (0.2500, 0.2500, 0.7500)
Al (0.2500, 0.7500, 0.2500)
Al (0.5000, 0.0000, 0.0000)
Al (0.5000, 0.5000, 0.5000)
Al (0.7500, 0.2500, 0.2500)
Al (0.7500, 0.7500, 0.7500)
Rh (0.2500, 0.2500, 0.2500)
Rh (0.2500, 0.7500, 0.7500)
Rh (0.7500, 0.2500, 0.7500)
Rh (0.7500, 0.7500, 0.2500)

## Properties
Formation enthalpy at 0 K: -346.1 meV/atom
Symmetry: F-43m, No. 216
Magnetization: 0.0 μB/f.u.
E_tot: -4.987 eV per atom
V: 12.89 A^3/atom

No. 11
Computed, not measured: a relaxed structure of BeAlRh4 at the PBE-GGA level of DFT.

Cell lengths 5.0489, 5.0489, 5.0489 Å; angles 60.00, 60.00, 60.00 degrees
Positions (direct):
Be (0.0000, 0.0000, 0.0000)
Al (0.2500, 0.2500, 0.2500)
Rh (0.1245, 0.6252, 0.6252)
Rh (0.6252, 0.1245, 0.6252)
Rh (0.6252, 0.6252, 0.1245)
Rh (0.6252, 0.6252, 0.6252)

## Properties
Formation enthalpy at 0 K: 184.5 meV/atom
Symmetry: F-43m, No. 216
Magnetization: 0.0 μB/f.u.
E_tot: -5.961 eV per atom
V: 15.17 A^3/atom

No. 12
Computed, not measured: a relaxed structure of BeAl4Rh at the PBE-GGA level of DFT.

Cell lengths 5.0327, 5.0327, 5.0327 Å; angles 60.00, 60.00, 60.00 degrees
Positions (direct):
Be (0.0000, 0.0000, 0.0000)
Al (0.3750, 0.3750, 0.3750)
Al (0.3750, 0.3750, 0.8749)
Al (0.3750, 0.8749, 0.3750)
Al (0.8749, 0.3750, 0.3750)
Rh (0.7500, 0.7500, 0.7500)

## Properties
Formation enthalpy at 0 K: 179.7 meV/atom
Symmetry: F-43m, No. 216
Magnetization: 0.0 μB/f.u.
E_tot: -4.162 eV per atom
V: 15.02 A^3/atom

No. 13
Computed, not measured: a relaxed structure of BeAl2Rh at the PBE-GGA level of DFT.

Cell lengths 6.8262, 6.8262, 5.0463 Å; angles 90.00, 90.00, 90.00 degrees
Positions (direct):
Be (0.0000, 0.0000, 0.0000)
Be (0.0000, 0.5000, 0.2500)
Be (0.5000, 0.0000, 0.7500)
Be (0.5000, 0.5000, 0.5000)
Al (0.2482, 0.2500, 0.1250)
Al (0.2500, 0.7482, 0.3750)
Al (0.2500, 0.7518, 0.8750)
Al (0.2518, 0.2500, 0.6250)
Al (0.7482, 0.7500, 0.6250)
Al (0.7500, 0.2482, 0.8750)
Al (0.7500, 0.2518, 0.3750)
Al (0.7518, 0.7500, 0.1250)
Rh (0.0000, 0.0000, 0.5000)
Rh (0.0000, 0.5000, 0.7500)
Rh (0.5000, 0.0000, 0.2500)
Rh (0.5000, 0.5000, 0.0000)

## Properties
Formation enthalpy at 0 K: 97.4 meV/atom
Symmetry: I-42d, No. 122
Magnetization: 0.0 μB/f.u.
E_tot: -4.543 eV per atom
V: 14.70 A^3/atom

No. 14
Computed, not measured: a relaxed structure of Be2AlRh2 at the PBE-GGA level of DFT.

Cell lengths 6.4588, 6.4588, 2.9057 Å; angles 90.00, 90.00, 90.00 degrees
Positions (direct):
Be (0.1364, 0.3636, 0.0000)
Be (0.3636, 0.8636, 0.0000)
Be (0.6364, 0.1364, 0.0000)
Be (0.8636, 0.6364, 0.0000)
Al (0.0000, 0.0000, 0.5000)
Al (0.5000, 0.5000, 0.5000)
Rh (0.1570, 0.6570, 0.5000)
Rh (0.3430, 0.1570, 0.5000)
Rh (0.6570, 0.8430, 0.5000)
Rh (0.8430, 0.3430, 0.5000)

## Properties
Distance to the lowest polymorph of the same formula: 0.177 eV/atom
Formation enthalpy at 0 K: -567.7 meV/atom
Symmetry: P4/mbm, No. 127
Magnetization: 0.0 μB/f.u.
E_tot: -5.747 eV per atom
V: 12.12 A^3/atom

No. 15
Computed, not measured: a relaxed structure of BeAl2Rh at the PBE-GGA level of DFT.

Cell lengths 2.8324, 2.8324, 23.8114 Å; angles 90.00, 90.00, 120.00 degrees
Positions (direct):
Be (0.0000, 0.0000, 0.0000)
Be (0.3333, 0.6667, 0.6667)
Be (0.6667, 0.3333, 0.3333)
Al (0.0000, 0.0000, 0.2499)
Al (0.0000, 0.0000, 0.7501)
Al (0.3333, 0.6667, 0.4168)
Al (0.3333, 0.6667, 0.9165)
Al (0.6667, 0.3333, 0.0835)
Al (0.6667, 0.3333, 0.5832)
Rh (0.0000, 0.0000, 0.5000)
Rh (0.3333, 0.6667, 0.1667)
Rh (0.6667, 0.3333, 0.8333)

## Properties
Formation enthalpy at 0 K: -239.6 meV/atom
Symmetry: R-3m, No. 166
Magnetization: 0.0 μB/f.u.
E_tot: -4.880 eV per atom
V: 13.79 A^3/atom